# NbTeN3

Crystalline NbTeN3 at its relaxed geometry (PBE-GGA, Alexandria via LeMat-Bulk).

```
NbTeN3
1.0
3.9459 0.0000 0.0000
0.0000 3.9459 0.0000
0.0000 0.0000 3.9459
Nb Te N
1 1 3
direct
0.0000 0.0000 0.0000 Nb
0.5000 0.5000 0.5000 Te
0.0000 0.5000 0.5000 N
0.5000 0.0000 0.5000 N
0.5000 0.5000 0.0000 N
```

Results
space-group type: No. 221

# NbTe2N

Crystalline NbTe2N at its relaxed geometry (PBE-GGA, Alexandria via LeMat-Bulk).

```
NbTe2N
1.0
1.6014 0.9246 8.9595
-1.6014 0.9246 8.9595
0.0000 -1.8491 8.9595
Nb Te N
1 2 1
direct
0.0000 0.0000 0.0000 Nb
0.1050 0.1050 0.1050 Te
0.8950 0.8950 0.8950 Te
0.5000 0.5000 0.5000 N
```

Results
space-group type: No. 166

# NbTe2N

Crystalline NbTe2N at its relaxed geometry (PBE-GGA, Alexandria via LeMat-Bulk).

```
NbTe2N
1.0
-2.9417 2.9417 5.5042
2.9417 -2.9417 5.5042
2.9417 2.9417 -5.5042
Nb Te N
2 4 2
direct
0.0000 0.0000 0.0000 Nb
0.7500 0.2500 0.5000 Nb
0.1774 0.6250 0.0524 Te
0.3750 0.4274 0.5524 Te
0.5726 0.1250 0.9476 Te
0.8750 0.8226 0.4476 Te
0.2500 0.7500 0.5000 N
0.5000 0.5000 0.0000 N
```

Results
space-group type: No. 122

# TiNbTeN2

Crystalline TiNbTeN2 at its relaxed geometry (PBE-GGA, Alexandria via LeMat-Bulk).

```
TiNbTeN2
1.0
3.9616 0.0000 0.0000
0.0000 3.9616 0.0000
0.0000 0.0000 5.3891
Ti Nb Te N
1 1 1 2
direct
0.0000 0.0000 0.0000 Ti
0.5000 0.5000 0.5000 Nb
0.0000 0.0000 0.5000 Te
0.0000 0.5000 0.0000 N
0.5000 0.0000 0.0000 N
```

Results
offset from the most stable computed form: 218 meV/atom
space-group type: No. 123

Asked for total moment across the records above, the calculation gives 1.60, 0.00, 0.00, 0.00 μB/cell in order.
Asked for formation energy from raw total energies across the records above, the calculation gives 1.419, 1.183, 0.870, 0.588 eV/atom in order.